[1]
The following is a DFT calculation (PBE-GGA) of a geometry-optimized CsYAgF6 structure.

- E_tot (eV per atom) = -5.183
- M_tot (μB/f.u.) = 0.0
- formation energy from raw total energies (eV/atom) = -2.8054

abc: 8.3595 7.8610 8.2745
angles: 118.36 120.34 90.00
Sites, in units of the cell vectors:
Y1 0.0000 0.0000 0.5000
Y2 0.5000 0.0000 0.5000
F1 0.4390 0.6756 0.2720
F2 0.5517 0.3017 0.1035
F3 0.4483 0.6983 0.8965
F4 0.4390 0.0964 0.2720
F5 0.5610 0.3244 0.7280
F6 0.1670 0.3244 0.7280
F7 0.8330 0.6756 0.2720
F8 0.5610 0.9036 0.7280
F9 0.8109 0.0609 0.6219
F10 0.1891 0.9391 0.3781
F11 0.8330 0.0964 0.2720
F12 0.1670 0.9036 0.7280
Ag1 0.5000 0.5000 0.0000
Ag2 0.5000 0.0000 0.0000
Cs1 0.1804 0.4304 0.3607
Cs2 0.8196 0.5696 0.6393


[2]
The following is a DFT calculation (PBE-GGA) of a geometry-optimized CsYAgF2 structure.

- E_tot (eV per atom) = -3.366
- M_tot (μB/f.u.) = 0.1
- formation energy from raw total energies (eV/atom) = -0.5833

abc: 4.9385 6.4031 4.9385
angles: 90.00 90.00 90.00
Sites, in units of the cell vectors:
F1 0.0000 0.0000 0.5000
F2 0.5000 0.0000 0.0000
Ag1 0.5000 0.5000 0.5000
Cs1 0.0000 0.0000 0.0000
Y1 0.0000 0.5000 0.0000


[3]
The following is a DFT calculation (PBE-GGA) of a geometry-optimized Cs2Y3AgF12 structure.

- E_tot (eV per atom) = -6.016
- M_tot (μB/f.u.) = 0.1
- formation energy from raw total energies (eV/atom) = -3.4375

abc: 8.0841 8.0841 8.0841
angles: 63.13 63.13 63.13
Last column: magnetic moment on the atom in μB.
Sites, in units of the cell vectors:
F1 0.9226 0.2984 0.2984  0.00
F2 0.0774 0.7016 0.7016  0.00
F3 0.3752 0.8954 0.8954  0.00
F4 0.7016 0.0774 0.7016  0.00
F5 0.8954 0.3752 0.8954  0.00
F6 0.2984 0.9226 0.2984  0.00
F7 0.1046 0.6248 0.1046  0.00
F8 0.7016 0.7016 0.0774  0.00
F9 0.1046 0.1046 0.6248  0.00
F10 0.8954 0.8954 0.3752  0.00
F11 0.6248 0.1046 0.1046  0.00
F12 0.2984 0.2984 0.9226  0.00
Cs1 0.6368 0.6368 0.6368  0.00
Cs2 0.3632 0.3632 0.3632  0.00
Ag1 0.0000 0.0000 0.0000  0.10
Y1 0.5000 0.0000 0.0000  0.00
Y2 0.0000 0.5000 0.0000  0.00
Y3 0.0000 0.0000 0.5000  0.00


[4]
The following is a DFT calculation (PBE-GGA) of a geometry-optimized CsZnAg2F5 structure.

- E_tot (eV per atom) = -3.722
- M_tot (μB/f.u.) = 0.0
- formation energy from raw total energies (eV/atom) = -1.8119

abc: 4.1987 6.3116 6.8442
angles: 117.46 107.86 90.00
Sites, in units of the cell vectors:
Ag1 0.7790 0.7790 0.5579
Ag2 0.2210 0.2210 0.4421
F1 0.0000 0.0000 0.0000
F2 0.3680 0.0915 0.7359
F3 0.6320 0.3556 0.2641
F4 0.6320 0.9085 0.2641
F5 0.3680 0.6444 0.7359
Zn1 0.5000 0.0000 0.0000
Cs1 0.0000 0.5000 0.0000


[5]
The following is a DFT calculation (PBE-GGA) of a geometry-optimized CsZn2AgF structure.

- E_tot (eV per atom) = -1.868
- M_tot (μB/f.u.) = 0.0
- formation energy from raw total energies (eV/atom) = -0.2433

abc: 5.2639 5.3883 5.2639
angles: 90.00 90.00 90.00
Sites, in units of the cell vectors:
F1 0.0000 0.0000 0.0000
Ag1 0.5000 0.5000 0.5000
Zn1 0.5000 0.0000 0.0000
Zn2 0.0000 0.0000 0.5000
Cs1 0.0000 0.5000 0.0000


[6]
The following is a DFT calculation (PBE-GGA) of a geometry-optimized CsZn3Ag4F12 structure.

- E_tot (eV per atom) = -3.656
- M_tot (μB/f.u.) = 0.0
- formation energy from raw total energies (eV/atom) = -1.7290

abc: 7.4590 7.4590 7.4590
angles: 109.47 109.47 109.47
Sites, in units of the cell vectors:
F1 0.8247 0.6631 0.1616
F2 0.8384 0.1753 0.3369
F3 0.1753 0.3369 0.8384
F4 0.3369 0.1616 0.4986
F5 0.5014 0.6631 0.8384
F6 0.3369 0.8384 0.1753
F7 0.6631 0.1616 0.8247
F8 0.1616 0.4986 0.3369
F9 0.1616 0.8247 0.6631
F10 0.8384 0.5014 0.6631
F11 0.6631 0.8384 0.5014
F12 0.4986 0.3369 0.1616
Zn1 0.0000 0.5000 0.5000
Zn2 0.5000 0.5000 0.0000
Zn3 0.5000 0.0000 0.5000
Ag1 0.5000 0.5000 0.5000
Ag2 0.0000 0.0000 0.5000
Ag3 0.0000 0.5000 0.0000
Ag4 0.5000 0.0000 0.0000
Cs1 0.0000 0.0000 0.0000


[7]
The following is a DFT calculation (PBE-GGA) of a geometry-optimized Cs3ZnAg2F9 structure.

- E_tot (eV per atom) = -3.830
- M_tot (μB/f.u.) = 0.0
- formation energy from raw total energies (eV/atom) = -2.0717

abc: 6.2631 6.2631 7.6796
angles: 90.00 90.00 120.00
Sites, in units of the cell vectors:
Cs1 0.6667 0.3333 0.3345
Cs2 0.0000 0.0000 0.0000
Cs3 0.3333 0.6667 0.6655
F1 0.5000 0.5000 0.0000
F2 0.5000 0.0000 0.0000
F3 0.1570 0.3139 0.3440
F4 0.0000 0.5000 0.0000
F5 0.8430 0.1570 0.6560
F6 0.8430 0.6861 0.6560
F7 0.1570 0.8430 0.3440
F8 0.6861 0.8430 0.3440
F9 0.3139 0.1570 0.6560
Zn1 0.0000 0.0000 0.5000
Ag1 0.3333 0.6667 0.1736
Ag2 0.6667 0.3333 0.8264


[8]
The following is a DFT calculation (PBE-GGA) of a geometry-optimized Cs2ZnAg2F6 structure.

- E_tot (eV per atom) = -3.763
- M_tot (μB/f.u.) = 0.0
- formation energy from raw total energies (eV/atom) = -1.9525

abc: 6.6823 6.6823 6.9388
angles: 61.22 61.22 60.00
Sites, in units of the cell vectors:
F1 0.2077 0.7846 0.2230
F2 0.7923 0.2154 0.7770
F3 0.7846 0.7846 0.2230
F4 0.2154 0.7923 0.7770
F5 0.2154 0.2154 0.7770
F6 0.7846 0.2077 0.2230
Zn1 0.0000 0.0000 0.0000
Cs1 0.7790 0.7790 0.6630
Cs2 0.2210 0.2210 0.3370
Ag1 0.4175 0.4175 0.7476
Ag2 0.5825 0.5825 0.2524